Record 1
Here is a relaxed structure of SrLi2InSn2 from the Alexandria database. Energies are from PBE-GGA.

Unit cell a=4.700 b=7.984 c=8.230 alpha=90.00 beta=90.00 gamma=90.00
Atoms (fractional coordinates):
Sr 0.000 0.009 0.356
Sn 0.500 0.812 0.619
Li 0.500 0.930 0.993
Sn 0.000 0.200 0.964
Li 0.000 0.918 0.765
Sn 0.000 0.700 0.036
Sn 0.500 0.312 0.381
In 0.500 0.177 0.718
In 0.500 0.677 0.282
Li 0.000 0.418 0.235
Sr 0.000 0.509 0.644
Li 0.500 0.430 0.007

SG	Pmc2_1, No. 26
energy relative to the elements	-0.4053	eV/atom

=====

Record 2
Here is a relaxed structure of Sm2Ni3B6 from the Alexandria database. Energies are from PBE-GGA.

Unit cell a=3.539 b=5.868 c=5.868 alpha=96.11 beta=90.00 gamma=90.00
Atoms (fractional coordinates):
Ni 0.000 0.228 0.228
Ni 0.500 0.000 0.000
B 0.500 0.614 0.912
B 0.500 0.088 0.386
B 0.500 0.386 0.386
Sm 0.000 0.274 0.726
Sm 0.000 0.726 0.274
B 0.500 0.912 0.614
B 0.500 0.386 0.088
Ni 0.000 0.772 0.772
B 0.500 0.614 0.614

SG	Cmmm, No. 65
energy relative to the elements	-0.4940	eV/atom

=====

Record 3
Here is a relaxed structure of NbBiSe2 from the Alexandria database. Energies are from PBE-GGA.

Unit cell a=6.705 b=6.705 c=7.266 alpha=62.52 beta=62.52 gamma=90.00
Atoms (fractional coordinates):
Se 0.375 0.441 0.750
Se 0.191 0.625 0.250
Bi 0.000 0.000 0.000
Nb 0.250 0.750 0.500
Se 0.875 0.809 0.750
Nb 0.500 0.500 0.000
Bi 0.750 0.250 0.500
Se 0.559 0.125 0.250

SG	I-42d, No. 122
raw formation energy	70.0	meV/atom

=====

Total DFT energy (no corrections) across the listed records, respectively: -3.114 -6.571 -5.160 eV per atom.
Calculated volume across the listed records, respectively: 309 121 248 Å³/cell.